BaRu2Br | PBE | relaxed

Cell lengths 5.646, 5.646, 3.251 Å; angles 90.00, 90.00, 117.16 degrees
Site moments in Bohr magnetons follow the coordinates.
Fractional positions:
Br 0.000 0.500 0.500  0.07
Ru 0.000 0.000 0.000  1.52
Ru 0.500 0.500 0.000  1.52
Ba 0.500 0.000 0.500  -0.08

Calculated values
Its energy is -4.492 eV per atom. The calculated volume comes out at 92 Å³/cell. Its space group is No. 65. As for the energy above the most stable polymorph in this dataset: 4.04 eV per formula unit.



Ba2RuBr | PBE | relaxed

Cell lengths 9.203, 9.203, 9.203 Å; angles 155.02, 155.17, 35.51 degrees
Fractional positions:
Ba 0.067 0.067 0.000
Ba 0.786 0.286 0.500
Br 0.453 0.453 0.000
Ru 0.194 0.694 0.500

Calculated values
Its energy is -4.037 eV per atom. The calculated volume comes out at 138 Å³/cell. Its space group is No. 44. As for the energy above the most stable polymorph in this dataset: 0.36 eV per formula unit.



BaRu2Br | PBE | relaxed

Cell lengths 3.312, 3.312, 7.611 Å; angles 90.00, 90.00, 90.00 degrees
Fractional positions:
Ru 0.000 0.000 0.938
Br 0.500 0.500 0.750
Ba 0.500 0.500 0.250
Ru 0.000 0.000 0.562

Calculated values
Its energy is -4.498 eV per atom. The calculated volume comes out at 83 Å³/cell. Its space group is No. 123. As for the energy above the most stable polymorph in this dataset: 4.02 eV per formula unit.



BaRu2Br | PBE | relaxed

Cell lengths 4.950, 4.950, 4.950 Å; angles 60.00, 60.00, 60.00 degrees
Site moments in Bohr magnetons follow the coordinates.
Fractional positions:
Ru 0.750 0.750 0.750  1.52
Br 0.000 0.000 0.000  0.15
Ba 0.500 0.500 0.500  -0.06
Ru 0.250 0.250 0.250  1.52

Calculated values
Its energy is -4.427 eV per atom. The calculated volume comes out at 86 Å³/cell. Its space group is No. 225. As for the energy above the most stable polymorph in this dataset: 4.31 eV per formula unit.



BaRuBr2 | PBE | relaxed

Cell lengths 4.129, 5.144, 5.144 Å; angles 90.00, 90.00, 90.00 degrees
Site moments in Bohr magnetons follow the coordinates.
Fractional positions:
Br 0.000 0.500 0.500  0.05
Ba 0.500 0.000 0.500  -0.03
Ru 0.500 0.500 0.000  2.16
Br 0.000 0.000 0.000  0.05

Calculated values
Its energy is -3.907 eV per atom. The calculated volume comes out at 109 Å³/cell. Its space group is No. 123. As for the energy above the most stable polymorph in this dataset: 1.22 eV per formula unit.



BaRuBr2 | PBE | relaxed

Cell lengths 3.660, 3.660, 8.748 Å; angles 90.00, 90.00, 90.00 degrees
Site moments in Bohr magnetons follow the coordinates.
Fractional positions:
Br 0.000 0.000 0.958  0.00
Br 0.500 0.500 0.364  0.00
Ru 0.000 0.000 0.443  0.50
Ba 0.500 0.500 0.735  -0.03

Calculated values
Its energy is -3.960 eV per atom. The calculated volume comes out at 117 Å³/cell. Its space group is No. 99. As for the energy above the most stable polymorph in this dataset: 1.00 eV per formula unit.



BaRuSeBr2 | PBE | relaxed

Cell lengths 5.260, 5.260, 4.893 Å; angles 90.00, 90.00, 90.00 degrees
Fractional positions:
Ru 0.000 0.000 0.000
Se 0.000 0.000 0.500
Br 0.000 0.500 0.000
Br 0.500 0.000 0.000
Ba 0.500 0.500 0.500

Calculated values
Its energy is -4.426 eV per atom. The calculated volume comes out at 135 Å³/cell. Its space group is No. 123. As for the energy above the most stable polymorph in this dataset: 0.00 eV per formula unit.



BaRuSeBr2 | PBE | relaxed

Cell lengths 6.118, 6.118, 6.224 Å; angles 90.00, 90.00, 90.00 degrees
Site moments in Bohr magnetons follow the coordinates.
Fractional positions:
Ba 0.000 0.000 0.000  0.00
Se 0.000 0.000 0.500  -0.02
Ru 0.500 0.500 0.500  2.87
Br 0.500 0.000 0.000  0.02
Br 0.000 0.500 0.000  0.02

Calculated values
Its energy is -3.222 eV per atom. The calculated volume comes out at 233 Å³/cell. Its space group is No. 123. As for the energy above the most stable polymorph in this dataset: 6.02 eV per formula unit.



Q: What is the energy in the fourth record?
A: -4.427 eV per atom